Crystalline RbCrGeO4 at its relaxed geometry. Source: the Alexandria database, functional GGA+U. Values from VASP.

Geometry as Quantum ESPRESSO input:
```
&SYSTEM
  ibrav = 0, nat = 14, ntyp = 4
/
ATOMIC_SPECIES
Rb 85.47 Rb.upf
Cr 52.00 Cr.upf
Ge 72.64 Ge.upf
O 16.00 O.upf
ATOMIC_POSITIONS crystal
Rb 0.179 0.250 0.095
Rb 0.821 0.750 0.905
Cr 0.154 0.750 0.470
Cr 0.846 0.250 0.530
Ge 0.382 0.250 0.652
Ge 0.618 0.750 0.348
O 0.141 0.021 0.662
O 0.141 0.479 0.662
O 0.317 0.750 0.209
O 0.479 0.250 0.433
O 0.521 0.750 0.567
O 0.683 0.250 0.791
O 0.859 0.521 0.338
O 0.859 0.979 0.338
CELL_PARAMETERS angstrom
5.329 0.000 0.000
0.000 5.584 0.000
-1.255 0.000 7.255
```

- raw total energy (eV/cell) = -88.7